No. 1
# NaSr2SbS | Alexandria | GGA-PBEsol | relaxed
data_NaSr2SbS
_symmetry_space_group_name_H-M 'P 4/m m m'
_symmetry_Int_Tables_number 123
_symmetry_space_group_name_Hall '-P 4 2'
_cell_length_a 6.055
_cell_length_b 6.055
_cell_length_c 4.491
_cell_angle_alpha 90.00
_cell_angle_beta 90.00
_cell_angle_gamma 90.00
loop_
_atom_site_label
_atom_site_fract_x
_atom_site_fract_y
_atom_site_fract_z
Na1 0.000 0.000 0.000
Sr1 0.000 0.500 0.000
Sb1 0.500 0.500 0.500
S1 0.000 0.000 0.500
# - E_form (uncorrected) (eV per atom) = -0.326

No. 2
# NaSb2TeS | Alexandria | GGA-PBEsol | relaxed
data_NaSb2TeS
_symmetry_space_group_name_H-M 'P 4/m m m'
_symmetry_Int_Tables_number 123
_symmetry_space_group_name_Hall '-P 4 2'
_cell_length_a 5.314
_cell_length_b 5.314
_cell_length_c 5.127
_cell_angle_alpha 90.00
_cell_angle_beta 90.00
_cell_angle_gamma 90.00
loop_
_atom_site_label
_atom_site_fract_x
_atom_site_fract_y
_atom_site_fract_z
Na1 0.000 0.000 0.000
Sb1 0.000 0.500 0.000
Te1 0.000 0.000 0.500
S1 0.500 0.500 0.500
# - E_form (uncorrected) (eV per atom) = 1.030

No. 3
# NaScTa2S | Alexandria | GGA-PBEsol | relaxed
data_NaScTa2S
_symmetry_space_group_name_H-M 'P 4/m m m'
_symmetry_Int_Tables_number 123
_symmetry_space_group_name_Hall '-P 4 2'
_cell_length_a 4.863
_cell_length_b 4.863
_cell_length_c 4.867
_cell_angle_alpha 90.00
_cell_angle_beta 90.00
_cell_angle_gamma 90.00
loop_
_atom_site_label
_atom_site_fract_x
_atom_site_fract_y
_atom_site_fract_z
Na1 0.000 0.000 0.000
Sc1 0.500 0.500 0.500
Ta1 0.000 0.500 0.500
S1 0.500 0.500 0.000
# - E_form (uncorrected) (eV per atom) = 1.457

No. 4
# Na2YScS | Alexandria | GGA-PBEsol | relaxed
data_Na2YScS
_symmetry_space_group_name_H-M 'P 4/m m m'
_symmetry_Int_Tables_number 123
_symmetry_space_group_name_Hall '-P 4 2'
_cell_length_a 5.695
_cell_length_b 5.695
_cell_length_c 5.156
_cell_angle_alpha 90.00
_cell_angle_beta 90.00
_cell_angle_gamma 90.00
loop_
_atom_site_label
_atom_site_fract_x
_atom_site_fract_y
_atom_site_fract_z
Na1 0.000 0.500 0.000
Y1 0.000 0.000 0.000
Sc1 0.000 0.000 0.500
S1 0.500 0.500 0.500
# - E_form (uncorrected) (eV per atom) = 1.175

No. 5
# Na4SeS | Alexandria | GGA-PBEsol | relaxed
data_Na4SeS
_symmetry_space_group_name_H-M 'P 4/m m m'
_symmetry_Int_Tables_number 123
_symmetry_space_group_name_Hall '-P 4 2'
_cell_length_a 4.688
_cell_length_b 4.688
_cell_length_c 6.663
_cell_angle_alpha 90.00
_cell_angle_beta 90.00
_cell_angle_gamma 90.00
loop_
_atom_site_label
_atom_site_fract_x
_atom_site_fract_y
_atom_site_fract_z
Na1 0.000 0.500 0.242
Se1 0.000 0.000 0.500
S1 0.500 0.500 0.000
# - E_form (uncorrected) (eV per atom) = -1.049

No. 6
# NaSm3SiS7 | Alexandria | GGA-PBEsol | relaxed
data_NaSm3SiS7
_symmetry_space_group_name_H-M 'P 63'
_symmetry_Int_Tables_number 173
_symmetry_space_group_name_Hall 'P 6c'
_cell_length_a 10.0273
_cell_length_b 10.0273
_cell_length_c 5.6627
_cell_angle_alpha 90.00
_cell_angle_beta 90.00
_cell_angle_gamma 120.00
loop_
_atom_site_label
_atom_site_fract_x
_atom_site_fract_y
_atom_site_fract_z
Na1 0.0000 0.0000 0.0000
Sm1 0.1261 0.7648 0.2346
Si1 0.3333 0.6667 0.6485
S1 0.0911 0.8293 0.7512
S2 0.1099 0.5207 0.4994
S3 0.3333 0.6667 0.0204
# - E_form (uncorrected) (eV per atom) = -1.666

No. 7
# NaY3SiS7 | Alexandria | GGA-PBEsol | relaxed
data_NaY3SiS7
_symmetry_space_group_name_H-M 'P 63'
_symmetry_Int_Tables_number 173
_symmetry_space_group_name_Hall 'P 6c'
_cell_length_a 9.8410
_cell_length_b 9.8410
_cell_length_c 5.6322
_cell_angle_alpha 90.00
_cell_angle_beta 90.00
_cell_angle_gamma 120.00
loop_
_atom_site_label
_atom_site_fract_x
_atom_site_fract_y
_atom_site_fract_z
Na1 0.0000 0.0000 0.0000
Y1 0.1290 0.3619 0.2729
Si1 0.3333 0.6667 0.8595
S1 0.0955 0.2644 0.7481
S2 0.1062 0.5862 0.0126
S3 0.3333 0.6667 0.4853
# - E_form (uncorrected) (eV per atom) = -1.658

No. 8
# Na4Sn3S8 | Alexandria | GGA-PBEsol | relaxed
data_Na4Sn3S8
_symmetry_space_group_name_H-M 'C 1 2/c 1'
_symmetry_Int_Tables_number 15
_symmetry_space_group_name_Hall '-C 2yc'
_cell_length_a 11.211
_cell_length_b 7.320
_cell_length_c 17.513
_cell_angle_alpha 90.00
_cell_angle_beta 94.28
_cell_angle_gamma 90.00
loop_
_atom_site_label
_atom_site_fract_x
_atom_site_fract_y
_atom_site_fract_z
Na1 0.141 0.127 0.164
Na2 0.238 0.164 0.374
Sn1 0.000 0.417 0.750
Sn2 0.101 0.331 0.968
S1 0.020 0.178 0.850
S2 0.022 0.350 0.425
S3 0.185 0.430 0.252
S4 0.202 0.029 0.015
# - E_form (uncorrected) (eV per atom) = -0.746

No. 9
# Na6Sn2S7 | Alexandria | GGA-PBEsol | relaxed
data_Na6Sn2S7
_symmetry_space_group_name_H-M 'C 1 2/c 1'
_symmetry_Int_Tables_number 15
_symmetry_space_group_name_Hall '-C 2yc'
_cell_length_a 9.259
_cell_length_b 10.703
_cell_length_c 15.153
_cell_angle_alpha 90.00
_cell_angle_beta 104.82
_cell_angle_gamma 90.00
loop_
_atom_site_label
_atom_site_fract_x
_atom_site_fract_y
_atom_site_fract_z
Na1 0.000 0.000 0.000
Na2 0.000 0.071 0.250
Na3 0.104 0.357 0.575
Na4 0.224 0.228 0.863
Sn1 0.160 0.412 0.364
S1 0.000 0.453 0.750
S2 0.042 0.228 0.398
S3 0.118 0.135 0.680
S4 0.202 0.436 0.984
# - E_form (uncorrected) (eV per atom) = -0.906

No. 10
# NaSnS3 | Alexandria | GGA-PBEsol | relaxed
data_NaSnS3
_symmetry_space_group_name_H-M 'P m -3 m'
_symmetry_Int_Tables_number 221
_symmetry_space_group_name_Hall '-P 4 2 3'
_cell_length_a 4.863
_cell_length_b 4.863
_cell_length_c 4.863
_cell_angle_alpha 90.00
_cell_angle_beta 90.00
_cell_angle_gamma 90.00
loop_
_atom_site_label
_atom_site_fract_x
_atom_site_fract_y
_atom_site_fract_z
Na1 0.000 0.000 0.000
Sn1 0.500 0.500 0.500
S1 0.000 0.000 0.500
# - E_form (uncorrected) (eV per atom) = 0.539

No. 11
# NaSnS2 | Alexandria | GGA-PBEsol | relaxed
data_NaSnS2
_symmetry_space_group_name_H-M 'R -3 m'
_symmetry_Int_Tables_number 166
_symmetry_space_group_name_Hall '-R 3 2"'
_cell_length_a 3.8427
_cell_length_b 3.8427
_cell_length_c 20.2577
_cell_angle_alpha 90.00
_cell_angle_beta 90.00
_cell_angle_gamma 120.00
loop_
_atom_site_label
_atom_site_fract_x
_atom_site_fract_y
_atom_site_fract_z
Na1 0.0000 0.0000 0.0000
Sn1 0.0000 0.0000 0.5000
S1 0.0000 0.0000 0.2433
# - E_form (uncorrected) (eV per atom) = -0.718

No. 12
# NaTe3S | Alexandria | GGA-PBEsol | relaxed
data_NaTe3S
_symmetry_space_group_name_H-M 'P m -3 m'
_symmetry_Int_Tables_number 221
_symmetry_space_group_name_Hall '-P 4 2 3'
_cell_length_a 5.274
_cell_length_b 5.274
_cell_length_c 5.274
_cell_angle_alpha 90.00
_cell_angle_beta 90.00
_cell_angle_gamma 90.00
loop_
_atom_site_label
_atom_site_fract_x
_atom_site_fract_y
_atom_site_fract_z
Na1 0.000 0.000 0.000
Te1 0.000 0.500 0.500
S1 0.500 0.500 0.500
# - E_form (uncorrected) (eV per atom) = 0.039